(1)
Pa2AlHg: optimized geometry, GGA-PBE.

## Properties
The energy above the lowest structure with this stoichiometry is 0.00 eV per formula unit. Its crystal system is tetragonal. The calculation puts the density of states at the Fermi level at 1.798 states/eV/atom. Its space-group type is No. 123. Its total energy is -5.81 eV per atom. The total magnetic moment comes out at 0.2326 μB per atom. The energy of formation is -0.20 eV per formula unit.

```
Pa2AlHg
1.0
3.139 0.000 0.000
0.000 3.139 0.000
0.000 0.000 9.251
Pa Al Hg
2 1 1
Direct
0.000 0.000 0.235
0.000 0.000 0.765
0.500 0.500 0.000
0.500 0.500 0.500
```



(2)
PrNdAlAg: optimized geometry, GGA-PBE.

## Properties
The energy above the lowest structure with this stoichiometry is 0.00 eV per formula unit. Its crystal system is tetragonal. The calculation puts the density of states at the Fermi level at 1.025 states/eV/atom. Its space-group type is No. 99. Its total energy is -4.34 eV per atom. The total magnetic moment comes out at 0.0000 μB per atom. The energy of formation is -1.22 eV per formula unit.

```
PrNdAlAg
1.0
3.675 0.000 0.000
0.000 3.675 0.000
0.000 0.000 7.842
Pr Nd Al Ag
1 1 1 1
Direct
0.000 0.000 0.000
0.000 0.000 0.509
0.500 0.500 0.752
0.500 0.500 0.260
```



(3)
LaCu2NiSb: optimized geometry, GGA-PBE.

## Properties
Its crystal system is tetragonal. For the uncorrected formation energy, the calculation gives 160 meV per atom. The calculation puts the density of states at the Fermi level at 0.878 states/eV/atom. Its space-group type is No. 123. Its total energy is -4.44 eV per atom. The total magnetic moment comes out at 0.0000 μB per atom.

```
LaCu2NiSb
1.0
4.845 0.000 0.000
0.000 4.845 0.000
0.000 0.000 4.754
La Cu Ni Sb
1 2 1 1
Direct
0.000 0.000 0.000
0.000 0.500 0.500
0.500 0.000 0.500
0.500 0.500 0.000
0.500 0.500 0.500
```



(4)
Hf3RhC: optimized geometry, GGA-PBE.

## Properties
The energy above the lowest structure with this stoichiometry is 1.20 eV per formula unit. Its crystal system is cubic. The calculation puts the density of states at the Fermi level at 1.236 states/eV/atom. Its space-group type is No. 221. Its total energy is -9.80 eV per atom. The total magnetic moment comes out at 0.0000 μB per atom. The energy of formation is -2.57 eV per formula unit.

```
Hf3RhC
1.0
4.429 0.000 0.000
0.000 4.429 0.000
0.000 0.000 4.429
Hf Rh C
3 1 1
Direct
0.000 0.000 0.500
0.000 0.500 0.000
0.500 0.000 0.000
0.500 0.500 0.500
0.000 0.000 0.000
```



Please write out number 1 again, unchanged.
Pa2AlHg: optimized geometry, GGA-PBE.

## Properties
The energy above the lowest structure with this stoichiometry is 0.00 eV per formula unit. Its crystal system is tetragonal. The calculation puts the density of states at the Fermi level at 1.798 states/eV/atom. Its space-group type is No. 123. Its total energy is -5.81 eV per atom. The total magnetic moment comes out at 0.2326 μB per atom. The energy of formation is -0.20 eV per formula unit.

```
Pa2AlHg
1.0
3.139 0.000 0.000
0.000 3.139 0.000
0.000 0.000 9.251
Pa Al Hg
2 1 1
Direct
0.000 0.000 0.235
0.000 0.000 0.765
0.500 0.500 0.000
0.500 0.500 0.500
```



> Look up the total magnetic moment of the first one.

0.2326 μB per atom



> Among the records above, which one has the highest total magnetic moment?

Pa2AlHg